#P
Computed, not measured: crystalline Si2RhW at its relaxed geometry at the PBEsol level of DFT.

Summary:
symmetry	No. 25
D(E_F)	0.594	states/eV/atom

a = 2.772 Å, b = 4.493 Å, c = 4.364 Å
α = 90.00°, β = 90.00°, γ = 90.00°
Positions (direct):
Si (0.000, 0.000, 0.000)
Si (0.500, 0.500, 0.203)
Rh (0.500, 0.000, 0.478)
W (0.000, 0.500, 0.707)

***

#Q
Computed, not measured: crystalline Si2RhW at its relaxed geometry at the PBEsol level of DFT.

Summary:
symmetry	No. 8
D(E_F)	0.463	states/eV/atom

a = 4.753 Å, b = 4.753 Å, c = 4.417 Å
α = 106.27°, β = 106.27°, γ = 34.16°
Positions (direct):
Si (0.000, 0.000, 0.000)
Si (0.744, 0.744, 0.370)
Rh (0.489, 0.489, 0.480)
W (0.251, 0.251, 0.877)

***

Quick one: most stable of them? #Q

***

#P
Computed, not measured: crystalline SrTaRh2 at its relaxed geometry at the PBEsol level of DFT.

Summary:
symmetry	No. 225
D(E_F)	0.822	states/eV/atom

a = 4.663 Å, b = 4.663 Å, c = 4.663 Å
α = 60.00°, β = 60.00°, γ = 60.00°
Positions (direct):
Sr (0.000, 0.000, 0.000)
Ta (0.500, 0.500, 0.500)
Rh (0.250, 0.250, 0.250)
Rh (0.750, 0.750, 0.750)

***

#Q
Computed, not measured: crystalline SrTaRh2 at its relaxed geometry at the PBEsol level of DFT.

Summary:
symmetry	No. 123
D(E_F)	0.846	states/eV/atom

a = 3.171 Å, b = 3.171 Å, c = 7.565 Å
α = 90.00°, β = 90.00°, γ = 90.00°
Positions (direct):
Sr (0.000, 0.000, 0.000)
Ta (0.000, 0.000, 0.500)
Rh (0.500, 0.500, 0.310)
Rh (0.500, 0.500, 0.690)

***

#R
Computed, not measured: crystalline SrTaRh2 at its relaxed geometry at the PBEsol level of DFT.

Summary:
symmetry	No. 12
D(E_F)	0.572	states/eV/atom

a = 3.988 Å, b = 3.988 Å, c = 7.168 Å
α = 96.84°, β = 96.84°, γ = 46.15°
Positions (direct):
Sr (0.000, 0.000, 0.000)
Ta (0.500, 0.500, 0.500)
Rh (0.238, 0.238, 0.688)
Rh (0.762, 0.762, 0.312)

***

Quick one: most stable of them? #Q

***

#P
Computed, not measured: crystalline SrRh2W at its relaxed geometry at the PBEsol level of DFT.

Summary:
symmetry	No. 71
D(E_F)	1.042	states/eV/atom

a = 4.776 Å, b = 4.776 Å, c = 4.776 Å
α = 128.41°, β = 116.94°, γ = 85.74°
Positions (direct):
Sr (0.000, 0.000, 0.000)
Rh (0.285, 0.785, 0.500)
Rh (0.715, 0.215, 0.500)
W (0.500, 0.500, 0.000)

***

#Q
Computed, not measured: crystalline SrRh2W at its relaxed geometry at the PBEsol level of DFT.

Summary:
symmetry	No. 216
D(E_F)	1.300	states/eV/atom

a = 4.557 Å, b = 4.557 Å, c = 4.557 Å
α = 60.00°, β = 60.00°, γ = 60.00°
Positions (direct):
Sr (0.000, 0.000, 0.000)
Rh (0.500, 0.500, 0.500)
Rh (0.750, 0.750, 0.750)
W (0.250, 0.250, 0.250)

***

#R
Computed, not measured: crystalline SrRh2W at its relaxed geometry at the PBEsol level of DFT.

Summary:
symmetry	No. 25
D(E_F)	0.860	states/eV/atom

a = 2.805 Å, b = 4.030 Å, c = 6.763 Å
α = 90.00°, β = 90.00°, γ = 90.00°
Positions (direct):
Sr (0.000, 0.000, 0.000)
Rh (0.000, 0.000, 0.504)
Rh (0.500, 0.500, 0.725)
W (0.500, 0.500, 0.372)

***

Quick one: most stable of them? #R

***

#P
Computed, not measured: crystalline SrRh2W at its relaxed geometry at the PBEsol level of DFT.

Summary:
symmetry	No. 12
D(E_F)	0.583	states/eV/atom

a = 3.982 Å, b = 3.982 Å, c = 7.146 Å
α = 93.41°, β = 93.41°, γ = 42.21°
Positions (direct):
Sr (0.000, 0.000, 0.000)
Rh (0.247, 0.247, 0.694)
Rh (0.753, 0.753, 0.306)
W (0.500, 0.500, 0.500)

***

#Q
Computed, not measured: crystalline SrRh2W at its relaxed geometry at the PBEsol level of DFT.

Summary:
symmetry	No. 65
D(E_F)	0.889	states/eV/atom

a = 4.901 Å, b = 4.901 Å, c = 2.850 Å
α = 90.00°, β = 90.00°, γ = 90.33°
Positions (direct):
Sr (0.000, 0.000, 0.000)
Rh (0.000, 0.500, 0.500)
Rh (0.500, 0.000, 0.500)
W (0.500, 0.500, 0.000)

***

Quick one: most stable of them? #P